Computed, not measured: a relaxed CoSi3F crystal at the PBE with a Hubbard U level of DFT.

The calculation puts the offset from the most stable computed form at 0.000 eV/atom. The density of states at the Fermi level is 2.762 states/eV/cell.

It has space group Pm-3m (No. 221), with a = 4.256 Å, b = 4.256 Å, c = 4.256 Å, α = 90.00°, β = 90.00° and γ = 90.00°. The distinct sites, in fractional coordinates, are Co at (0.000, 0.000, 0.000), Si at (0.000, 0.000, 0.500) and F at (0.500, 0.500, 0.500).